Crystalline Ho3Be at its relaxed geometry. Source: the Alexandria database, functional PBE.

```
Ho3Be
1.0
3.571 0.000 0.000
0.000 5.124 0.000
-1.785 -2.562 5.543
Ho Be
3 1
direct
0.500 0.417 0.000
0.705 0.122 0.411
0.295 0.711 0.589
0.000 0.917 0.000
```

Electronic total energy: -4.26 eV/atom
Density of states at the Fermi level: 4.3 states/eV/cell
Space group: Immm, No. 71
Polymorph energy (0 for the lowest one): 0.000 eV per atom
Magnetization: 0.00 μB/cell